1.
This record from Alexandria describes MnVS2Cl after structural relaxation. The functional is PBE-GGA.

Cell lengths 4.6551, 4.6551, 4.7136 Å; angles 90.00, 90.00, 90.00 degrees
Space group P4/mmm (No. 123)
Inequivalent atoms, fractional coordinates:
Mn 0.0000 0.0000 0.0000
V 0.5000 0.5000 0.5000
S 0.0000 0.5000 0.5000
Cl 0.5000 0.5000 0.0000

For the size of the total moment, the calculation gives 1.39 μB per atom. The value obtained for the energy above the most stable polymorph in this dataset is 0.000 eV/atom. The final energy comes out at -5.830 eV/atom. Its density is 3.34 Mg/m³. The formation energy without anion corrections comes out at -0.1524 eV per atom.



2.
This record from Alexandria describes TaBeSbPd2 after structural relaxation. The functional is PBE-GGA.

Cell lengths 4.8747, 4.8747, 5.2964 Å; angles 90.00, 90.00, 90.00 degrees
Space group P4/mmm (No. 123)
Inequivalent atoms, fractional coordinates:
Ta 0.0000 0.0000 0.0000
Be 0.5000 0.5000 0.5000
Sb 0.0000 0.0000 0.5000
Pd 0.0000 0.5000 0.0000

For the size of the total moment, the calculation gives 0.00 μB per atom. The final energy comes out at -4.773 eV/atom. Its density is 6.92 Mg/m³. The formation energy without anion corrections comes out at 1.2439 eV per atom.



- Among the records above, which one has the highest formation energy without anion corrections?
  TaBeSbPd2



- What is the formula in the second record?
  TaBeSbPd2